Entry 1:
An optimized crystal structure of BaHoCuTe2S, computed with PBE.

Computed properties:
The total energy is -4.806 eV/atom. Its space group is Cmcm (63).

Cell: 7.671 7.671 10.595 Å, 90.00 90.00 147.64°
Sites, in units of the cell vectors:
Ba  0.238  0.762  0.750
Ba  0.762  0.238  0.250
Ho  0.500  0.500  0.000
Ho  0.500  0.500  0.500
Cu  0.022  0.978  0.250
Cu  0.978  0.022  0.750
Te  0.141  0.859  0.054
Te  0.141  0.859  0.446
Te  0.859  0.141  0.554
Te  0.859  0.141  0.946
S  0.445  0.555  0.250
S  0.555  0.445  0.750

=====

Entry 2:
An optimized crystal structure of BaHoCuTe2Se, computed with PBE.

Computed properties:
The total energy is -4.684 eV/atom. Its space group is Cmcm (63).

Cell: 7.771 7.771 10.841 Å, 90.00 90.00 147.82°
Sites, in units of the cell vectors:
Ba  0.232  0.768  0.750
Ba  0.768  0.232  0.250
Ho  0.500  0.500  0.000
Ho  0.500  0.500  0.500
Cu  0.028  0.972  0.250
Cu  0.972  0.028  0.750
Te  0.139  0.861  0.060
Te  0.139  0.861  0.440
Te  0.861  0.139  0.560
Te  0.861  0.139  0.940
Se  0.438  0.562  0.250
Se  0.562  0.438  0.750

=====

Entry 3:
An optimized crystal structure of BaCu2Ir2, computed with PBE.

Computed properties:
The total energy is -5.166 eV/atom. Its space group is I4/mmm (139).

Cell: 6.431 6.431 6.431 Å, 143.55 143.55 52.51°
Sites, in units of the cell vectors:
Ba  0.000  0.000  0.000
Cu  0.385  0.385  0.000
Cu  0.615  0.615  0.000
Ir  0.250  0.750  0.500
Ir  0.750  0.250  0.500

=====

Entry 4:
An optimized crystal structure of BaCuMoIr, computed with PBE.

Computed properties:
The total energy is -5.519 eV/atom. Its space group is F-43m (216).

Cell: 4.724 4.724 4.724 Å, 60.00 60.00 60.00°
Sites, in units of the cell vectors:
Ba  0.000  0.000  0.000
Cu  0.250  0.250  0.250
Mo  0.750  0.750  0.750
Ir  0.500  0.500  0.500

=====

Entry 5:
An optimized crystal structure of BaCuMoIr, computed with PBE.

Computed properties:
The total energy is -5.416 eV/atom. Its space group is F-43m (216).

Cell: 4.889 4.889 4.889 Å, 60.00 60.00 60.00°
Sites, in units of the cell vectors:
Ba  0.000  0.000  0.000
Cu  0.750  0.750  0.750
Mo  0.500  0.500  0.500
Ir  0.250  0.250  0.250

=====

Entry 6:
An optimized crystal structure of BaCuMoIr, computed with PBE.

Computed properties:
The total energy is -5.151 eV/atom. Its space group is F-43m (216).

Cell: 4.751 4.751 4.751 Å, 60.00 60.00 60.00°
Sites, in units of the cell vectors:
Ba  0.000  0.000  0.000
Cu  0.500  0.500  0.500
Mo  0.250  0.250  0.250
Ir  0.750  0.750  0.750

=====

Entry 7:
An optimized crystal structure of BaCuIrS3, computed with PBE.

Computed properties:
The total energy is -5.231 eV/atom. Its space group is Cmcm (63).

Cell: 6.812 6.812 9.432 Å, 90.00 90.00 146.93°
Sites, in units of the cell vectors:
Ba  0.238  0.762  0.750
Ba  0.762  0.238  0.250
Cu  0.474  0.526  0.250
Cu  0.526  0.474  0.750
Ir  0.000  0.000  0.000
Ir  0.000  0.000  0.500
S  0.067  0.933  0.250
S  0.385  0.615  0.037
S  0.385  0.615  0.463
S  0.615  0.385  0.537
S  0.615  0.385  0.963
S  0.933  0.067  0.750

=====

Entry 8:
An optimized crystal structure of BaCuIrW, computed with PBE.

Computed properties:
The total energy is -5.758 eV/atom. Its space group is F-43m (216).

Cell: 4.853 4.853 4.853 Å, 60.00 60.00 60.00°
Sites, in units of the cell vectors:
Ba  0.000  0.000  0.000
Cu  0.250  0.250  0.250
Ir  0.750  0.750  0.750
W  0.500  0.500  0.500

=====

Look up the total energy of the fifth one.
-5.416 eV/atom

=====

What did the fourth record say?
An optimized crystal structure of BaCuMoIr, computed with PBE.

Computed properties:
The total energy is -5.519 eV/atom. Its space group is F-43m (216).

Cell: 4.724 4.724 4.724 Å, 60.00 60.00 60.00°
Sites, in units of the cell vectors:
Ba  0.000  0.000  0.000
Cu  0.250  0.250  0.250
Mo  0.750  0.750  0.750
Ir  0.500  0.500  0.500

=====

Repeat the eighth record exactly.
An optimized crystal structure of BaCuIrW, computed with PBE.

Computed properties:
The total energy is -5.758 eV/atom. Its space group is F-43m (216).

Cell: 4.853 4.853 4.853 Å, 60.00 60.00 60.00°
Sites, in units of the cell vectors:
Ba  0.000  0.000  0.000
Cu  0.250  0.250  0.250
Ir  0.750  0.750  0.750
W  0.500  0.500  0.500